## MnAlTl2 (PBE)

Data for a relaxed structure of MnAlTl2.

The structure in POSCAR format:
```
MnAlTl2
1.0
3.778 0.000 0.000
0.000 3.778 0.000
0.000 0.000 6.300
Mn Al Tl
1 1 2
direct
0.000 0.000 0.000 Mn
0.000 0.000 0.500 Al
0.500 0.500 0.245 Tl
0.500 0.500 0.755 Tl
```

Energy above the lowest structure with this stoichiometry ... 226 meV/atom
Energy of formation ... 10.5 kcal/mol of atoms
Calculated density ... 9.1 Mg/m³
Total moment ... 0.97 μB per atom

## Dy2HoPuSe4 (PBE)

Data for a relaxed structure of Dy2HoPuSe4.

The structure in POSCAR format:
```
Dy2HoPuSe4
1.0
7.083 0.000 0.000
0.000 4.067 0.000
-2.325 0.000 6.693
Dy Ho Pu Se
2 1 1 4
direct
0.000 0.000 0.000 Dy
0.000 0.500 0.500 Dy
0.500 0.000 0.500 Ho
0.500 0.500 0.000 Pu
0.247 0.000 0.746 Se
0.249 0.500 0.253 Se
0.751 0.500 0.747 Se
0.753 0.000 0.254 Se
```

Calculated density ... 9.0 Mg/m³
Formation energy (no corrections) ... -1.710 eV/atom
Total moment ... 0.74 μB per atom

## LaScCu2 (PBE)

Data for a relaxed structure of LaScCu2.

The structure in POSCAR format:
```
LaScCu2
1.0
3.345 0.000 0.000
0.000 3.345 0.000
0.000 0.000 7.472
La Sc Cu
1 1 2
direct
0.000 0.000 0.000 La
0.500 0.500 0.373 Sc
0.000 0.000 0.576 Cu
0.500 0.500 0.730 Cu
```

Energy above the lowest structure with this stoichiometry ... 140 meV/atom
Energy of formation ... -1.2 kcal/mol of atoms
Calculated density ... 6.2 Mg/m³
Total moment ... 0.00 μB per atom

## AlCr2Ru (PBE)

Data for a relaxed structure of AlCr2Ru.

The structure in POSCAR format:
```
AlCr2Ru
1.0
2.671 0.000 0.000
0.000 3.978 0.000
-1.143 0.000 4.845
Al Cr Ru
1 2 1
direct
0.000 0.000 0.000 Al
0.563 0.000 0.485 Cr
0.696 0.500 0.249 Cr
0.297 0.500 0.746 Ru
```

Energy of formation ... -1.7 kcal/mol of atoms
Calculated density ... 7.5 Mg/m³
Total moment ... 0.00 μB per atom

## Li3SeCl (PBE)

Data for a relaxed structure of Li3SeCl.

The structure in POSCAR format:
```
Li3SeCl
1.0
4.796 0.000 0.000
0.000 4.796 0.000
0.000 0.000 4.796
Li Se Cl
3 1 1
direct
0.000 0.000 0.500 Li
0.000 0.500 0.000 Li
0.500 0.000 0.000 Li
0.000 0.000 0.000 Se
0.500 0.500 0.500 Cl
```

Energy above the lowest structure with this stoichiometry ... 0 meV/atom
Calculated density ... 2.0 Mg/m³
Formation energy (no corrections) ... -1.257 eV/atom
Total moment ... 0.00 μB per atom

## Sc2IF (PBE)

Data for a relaxed structure of Sc2IF.

The structure in POSCAR format:
```
Sc2IF
1.0
3.687 0.000 0.000
-1.844 3.193 0.000
0.000 0.000 21.171
Sc I F
6 3 3
direct
0.000 0.000 0.222 Sc
0.000 0.000 0.778 Sc
0.333 0.667 0.444 Sc
0.333 0.667 0.889 Sc
0.667 0.333 0.111 Sc
0.667 0.333 0.556 Sc
0.000 0.000 0.000 I
0.333 0.667 0.667 I
0.667 0.333 0.333 I
0.000 0.000 0.500 F
0.333 0.667 0.167 F
0.667 0.333 0.833 F
```

Energy above the lowest structure with this stoichiometry ... 0 meV/atom
Calculated density ... 4.7 Mg/m³
Formation energy (no corrections) ... -1.164 eV/atom
Total moment ... 0.00 μB per atom

## ZrPaN (PBE)

Data for a relaxed structure of ZrPaN.

The structure in POSCAR format:
```
ZrPaN
1.0
5.943 0.000 0.000
0.000 5.943 0.000
0.000 0.000 5.943
Zr Pa N
4 4 4
direct
0.000 0.000 0.000 Zr
0.000 0.500 0.500 Zr
0.500 0.000 0.500 Zr
0.500 0.500 0.000 Zr
0.000 0.000 0.500 Pa
0.000 0.500 0.000 Pa
0.500 0.000 0.000 Pa
0.500 0.500 0.500 Pa
0.250 0.250 0.750 N
0.250 0.750 0.250 N
0.750 0.250 0.250 N
0.750 0.750 0.750 N
```

Energy above the lowest structure with this stoichiometry ... 890 meV/atom
Calculated density ... 10.6 Mg/m³
Formation energy (no corrections) ... -0.027 eV/atom
Total moment ... 0.01 μB per atom

## Nd4CoAsCl2 (PBE)

Data for a relaxed structure of Nd4CoAsCl2.

The structure in POSCAR format:
```
Nd4CoAsCl2
1.0
7.496 0.000 0.000
0.000 4.005 0.000
-2.282 0.000 7.146
Nd Co As Cl
4 1 1 2
direct
0.210 0.000 0.203 Nd
0.246 0.500 0.780 Nd
0.754 0.500 0.220 Nd
0.790 0.000 0.797 Nd
0.000 0.500 0.000 Co
0.500 0.000 0.000 As
0.000 0.000 0.500 Cl
0.500 0.500 0.500 Cl
```

Calculated density ... 6.1 Mg/m³
Formation energy (no corrections) ... -1.147 eV/atom
Total moment ... 0.00 μB per atom